Here is a relaxed Ac2AgSb3Pd4 crystal from Alexandria via LeMat-Bulk. Energies are from PBE.

Cell and atoms, written as POSCAR:
```
Ac2AgSb3Pd4
1.0
-2.415 -3.974 -0.635
1.458 -0.174 -4.458
8.537 -5.669 3.012
Ac Ag Sb Pd
2 1 3 4
direct
0.500 0.000 0.245
0.000 0.500 0.755
0.500 0.500 0.500
0.000 0.000 0.500
0.500 0.000 0.871
0.000 0.500 0.129
0.500 0.500 0.000
0.000 0.000 0.000
0.500 0.000 0.627
0.000 0.500 0.373
```

Output
For the formation energy (no corrections), the calculation gives -0.824 eV/atom. The value obtained for the magnetization is 0.00 μB per cell.